Record 1
P3Br | GGA-PBE | relaxed

The structure in POSCAR format:
```
P3Br
1.0
4.110 0.000 0.000
0.000 4.110 0.000
0.000 0.000 4.110
Br P
1 3
direct
0.000 0.000 0.000
0.000 0.500 0.500
0.500 0.000 0.500
0.500 0.500 0.000
```

- Energy relative to the lowest polymorph listed for this composition: 0.991 eV per atom
- Magnetization: 0.00 μB/f.u.

=====

Record 2
PBr3 | GGA-PBE | relaxed

The structure in POSCAR format:
```
PBr3
1.0
3.240 0.000 0.000
0.000 3.240 0.000
0.000 0.000 10.367
P Br
1 3
direct
0.500 0.500 0.500
0.000 0.000 0.663
0.500 0.500 0.000
0.000 0.000 0.337
```

- Magnetization: 0.00 μB/f.u.

=====

Record 3
PBr5 | GGA-PBE | relaxed

The structure in POSCAR format:
```
PBr5
1.0
1.857 -6.682 0.000
1.857 6.682 0.000
0.000 0.000 8.358
P Br
1 5
direct
0.500 0.500 0.000
0.333 0.667 0.500
0.128 0.872 0.000
0.000 0.000 0.500
0.872 0.128 0.000
0.667 0.333 0.500
```

- Energy relative to the lowest polymorph listed for this composition: 0.488 eV per atom
- Magnetization: 0.27 μB/f.u.

=====

Record 4
PBr3 | GGA-PBE | relaxed

The structure in POSCAR format:
```
PBr3
1.0
-2.131 2.316 1.565
-1.258 -3.104 -1.067
2.110 -3.750 8.422
Br P
3 1
direct
0.000 0.000 0.943
0.000 0.000 0.557
0.667 0.333 0.250
0.667 0.333 0.750
```

- Magnetization: 0.00 μB/f.u.

=====

no.,formation energy (no corrections) (eV per atom),D(E_F) (states/eV/f.u.)
1,1.237,4.505
2,0.531,2.815
3,0.181,2.364
4,0.412,2.563